Entry from the Alexandria database: an optimized crystal structure of LiFeSi2O6 (GGA+U).

Properties
The calculation puts the uncorrected energy at -7.199 eV/atom. The calculation puts the size of the total moment at 5.00 μB/f.u.

a b c (Å): 5.423 5.423 5.584
angles (deg): 90.00 90.00 120.56
Each line ends with the local moment (μB).
Fractional positions:
Li1 0.000 0.000 0.000  0.00
O1 0.369 0.154 0.831  0.12
O2 0.154 0.369 0.169  0.12
O3 0.846 0.631 0.169  0.12
O4 0.759 0.241 0.500  0.01
O5 0.241 0.759 0.500  0.01
O6 0.631 0.846 0.831  0.12
Si1 0.000 0.500 0.335  0.01
Si2 0.500 0.000 0.665  0.01
Fe1 0.500 0.500 0.000  4.30